An optimized crystal structure of Li6LaGe2. Source: Alexandria via LeMat-Bulk, functional GGA-PBE.

```
data_Li6LaGe2
_chemical_formula_sum 'Li6 La1 Ge2'
_cell_length_a 4.408
_cell_length_b 4.408
_cell_length_c 9.105
_cell_angle_alpha 90.00
_cell_angle_beta 90.00
_cell_angle_gamma 90.00
_space_group_name_H-M_alt 'P 1'
_space_group_IT_number 1
loop_
_space_group_symop_operation_xyz
'x,y,z'
loop_
_atom_site_label
_atom_site_fract_x
_atom_site_fract_y
_atom_site_fract_z
Li1 0.000 0.500 0.289
Li2 0.500 0.000 0.289
Li3 0.000 0.500 0.711
Li4 0.500 0.000 0.711
Li5 0.500 0.500 0.500
Li6 0.000 0.000 0.500
La1 0.000 0.000 0.000
Ge1 0.500 0.500 0.139
Ge2 0.500 0.500 0.861
```

Computed properties:
ΔH_f (0 K) in meV per atom: -321.7
E_tot in eV/cell: -28.54
Mass density in g/cm3: 3.06

---

An optimized crystal structure of Li4LaGe4. Source: Alexandria via LeMat-Bulk, functional GGA-PBE.

```
data_Li4LaGe4
_chemical_formula_sum 'Li8 La2 Ge8'
_cell_length_a 6.197
_cell_length_b 6.197
_cell_length_c 8.784
_cell_angle_alpha 90.00
_cell_angle_beta 90.00
_cell_angle_gamma 90.00
_space_group_name_H-M_alt 'P 1'
_space_group_IT_number 1
loop_
_space_group_symop_operation_xyz
'x,y,z'
loop_
_atom_site_label
_atom_site_fract_x
_atom_site_fract_y
_atom_site_fract_z
Li1 0.244 0.500 0.904
Li2 0.756 0.500 0.904
Li3 0.500 0.756 0.096
Li4 0.500 0.244 0.096
Li5 0.000 0.744 0.404
Li6 0.000 0.256 0.404
Li7 0.256 0.000 0.596
Li8 0.744 0.000 0.596
La1 0.000 0.000 0.000
La2 0.500 0.500 0.500
Ge1 0.500 0.801 0.797
Ge2 0.500 0.199 0.797
Ge3 0.801 0.500 0.203
Ge4 0.199 0.500 0.203
Ge5 0.301 0.000 0.297
Ge6 0.699 0.000 0.297
Ge7 0.000 0.301 0.703
Ge8 0.000 0.699 0.703
```

Computed properties:
ΔH_f (0 K) in meV per atom: -400.1
E_tot in eV/cell: -69.31
Mass density in g/cm3: 4.50

---

An optimized crystal structure of Li4LaGe2. Source: Alexandria via LeMat-Bulk, functional GGA-PBE.

```
data_Li4LaGe2
_chemical_formula_sum 'Li8 La2 Ge4'
_cell_length_a 4.457
_cell_length_b 7.827
_cell_length_c 7.827
_cell_angle_alpha 90.00
_cell_angle_beta 90.00
_cell_angle_gamma 90.00
_space_group_name_H-M_alt 'P 1'
_space_group_IT_number 1
loop_
_space_group_symop_operation_xyz
'x,y,z'
loop_
_atom_site_label
_atom_site_fract_x
_atom_site_fract_y
_atom_site_fract_z
Li1 0.000 0.099 0.345
Li2 0.000 0.901 0.655
Li3 0.500 0.155 0.599
Li4 0.500 0.845 0.401
Li5 0.500 0.401 0.845
Li6 0.500 0.599 0.155
Li7 0.000 0.345 0.099
Li8 0.000 0.655 0.901
La1 0.500 0.000 0.000
La2 0.000 0.500 0.500
Ge1 0.000 0.213 0.787
Ge2 0.000 0.787 0.213
Ge3 0.500 0.713 0.713
Ge4 0.500 0.287 0.287
```

Computed properties:
ΔH_f (0 K) in meV per atom: -473.7
E_tot in eV/cell: -50.27
Mass density in g/cm3: 3.79

---

An optimized crystal structure of LiLaLuGe. Source: Alexandria via LeMat-Bulk, functional GGA-PBE.

```
data_LiLaLuGe
_chemical_formula_sum 'Li1 La1 Lu1 Ge1'
_cell_length_a 5.130
_cell_length_b 5.130
_cell_length_c 5.130
_cell_angle_alpha 60.00
_cell_angle_beta 60.00
_cell_angle_gamma 60.00
_space_group_name_H-M_alt 'P 1'
_space_group_IT_number 1
loop_
_space_group_symop_operation_xyz
'x,y,z'
loop_
_atom_site_label
_atom_site_fract_x
_atom_site_fract_y
_atom_site_fract_z
Ge1 0.750 0.750 0.750
Lu1 0.500 0.500 0.500
Li1 0.250 0.250 0.250
La1 0.000 0.000 0.000
```

Computed properties:
ΔH_f (0 K) in meV per atom: -382.3
E_tot in eV/cell: -17.51
Mass density in g/cm3: 6.84

---

An optimized crystal structure of LiLaMg2Ge2. Source: Alexandria via LeMat-Bulk, functional GGA-PBE.

```
data_LiLaMg2Ge2
_chemical_formula_sum 'Li1 La1 Mg2 Ge2'
_cell_length_a 4.555
_cell_length_b 4.555
_cell_length_c 7.229
_cell_angle_alpha 90.00
_cell_angle_beta 90.00
_cell_angle_gamma 120.00
_space_group_name_H-M_alt 'P 1'
_space_group_IT_number 1
loop_
_space_group_symop_operation_xyz
'x,y,z'
loop_
_atom_site_label
_atom_site_fract_x
_atom_site_fract_y
_atom_site_fract_z
Li1 0.000 0.000 0.500
La1 0.000 0.000 0.000
Mg1 0.333 0.667 0.651
Mg2 0.667 0.333 0.349
Ge1 0.333 0.667 0.249
Ge2 0.667 0.333 0.751
```

Computed properties:
ΔH_f (0 K) in meV per atom: -565.0
E_tot in eV/cell: -22.66
Mass density in g/cm3: 4.34

---

An optimized crystal structure of Li3La2MgGe4. Source: Alexandria via LeMat-Bulk, functional GGA-PBE.

```
data_Li3La2MgGe4
_chemical_formula_sum 'Li3 La2 Mg1 Ge4'
_cell_length_a 4.261
_cell_length_b 4.261
_cell_length_c 11.231
_cell_angle_alpha 90.00
_cell_angle_beta 90.00
_cell_angle_gamma 90.00
_space_group_name_H-M_alt 'P 1'
_space_group_IT_number 1
loop_
_space_group_symop_operation_xyz
'x,y,z'
loop_
_atom_site_label
_atom_site_fract_x
_atom_site_fract_y
_atom_site_fract_z
Li1 0.000 0.000 0.500
Li2 0.500 0.000 0.872
Li3 0.000 0.500 0.128
La1 0.500 0.000 0.238
La2 0.000 0.500 0.762
Mg1 0.500 0.500 0.500
Ge1 0.500 0.500 0.000
Ge2 0.000 0.000 0.000
Ge3 0.500 0.000 0.651
Ge4 0.000 0.500 0.349
```

Computed properties:
ΔH_f (0 K) in meV per atom: -584.6
E_tot in eV/cell: -41.51
Mass density in g/cm3: 5.00

---

An optimized crystal structure of Li4La2MgGe3. Source: Alexandria via LeMat-Bulk, functional GGA-PBE.

```
data_Li4La2MgGe3
_chemical_formula_sum 'Li4 La2 Mg1 Ge3'
_cell_length_a 4.359
_cell_length_b 4.359
_cell_length_c 10.878
_cell_angle_alpha 90.00
_cell_angle_beta 90.00
_cell_angle_gamma 90.00
_space_group_name_H-M_alt 'P 1'
_space_group_IT_number 1
loop_
_space_group_symop_operation_xyz
'x,y,z'
loop_
_atom_site_label
_atom_site_fract_x
_atom_site_fract_y
_atom_site_fract_z
Li1 0.500 0.500 0.000
Li2 0.000 0.000 0.000
Li3 0.500 0.000 0.638
Li4 0.000 0.500 0.362
La1 0.500 0.000 0.227
La2 0.000 0.500 0.773
Mg1 0.500 0.500 0.500
Ge1 0.000 0.000 0.500
Ge2 0.500 0.000 0.864
Ge3 0.000 0.500 0.136
```

Computed properties:
ΔH_f (0 K) in meV per atom: -458.1
E_tot in eV/cell: -37.54
Mass density in g/cm3: 4.40

---

An optimized crystal structure of LiLa2MnGe6. Source: Alexandria via LeMat-Bulk, functional GGA-PBE.

```
data_LiLa2MnGe6
_chemical_formula_sum 'Li2 La4 Mn2 Ge12'
_cell_length_a 6.238
_cell_length_b 6.238
_cell_length_c 12.580
_cell_angle_alpha 75.64
_cell_angle_beta 75.64
_cell_angle_gamma 60.00
_space_group_name_H-M_alt 'P 1'
_space_group_IT_number 1
loop_
_space_group_symop_operation_xyz
'x,y,z'
loop_
_atom_site_label
_atom_site_fract_x
_atom_site_fract_y
_atom_site_fract_z
Li1 0.573 0.573 0.282
Li2 0.427 0.427 0.718
La1 0.887 0.887 0.340
La2 0.113 0.113 0.660
La3 0.713 0.713 0.862
La4 0.287 0.287 0.138
Mn1 0.000 0.000 0.000
Mn2 0.500 0.500 0.500
Ge1 0.928 0.338 0.396
Ge2 0.338 0.928 0.396
Ge3 0.338 0.338 0.396
Ge4 0.072 0.662 0.604
Ge5 0.662 0.072 0.604
Ge6 0.662 0.662 0.604
Ge7 0.655 0.229 0.887
Ge8 0.229 0.655 0.887
Ge9 0.229 0.229 0.887
Ge10 0.345 0.771 0.113
Ge11 0.771 0.345 0.113
Ge12 0.771 0.771 0.113
```

Computed properties:
ΔH_f (0 K) in meV per atom: -425.0
E_tot in eV/cell: -105.78
Mass density in g/cm3: 6.34

---

An optimized crystal structure of Li2LaMnGe. Source: Alexandria via LeMat-Bulk, functional GGA-PBE.

```
data_Li2LaMnGe
_chemical_formula_sum 'Li2 La1 Mn1 Ge1'
_cell_length_a 5.368
_cell_length_b 5.434
_cell_length_c 5.368
_cell_angle_alpha 90.00
_cell_angle_beta 90.00
_cell_angle_gamma 90.00
_space_group_name_H-M_alt 'P 1'
_space_group_IT_number 1
loop_
_space_group_symop_operation_xyz
'x,y,z'
loop_
_atom_site_label
_atom_site_fract_x
_atom_site_fract_y
_atom_site_fract_z
Ge1 0.000 0.500 0.000
Mn1 0.500 0.500 0.500
Li1 0.000 0.000 0.500
Li2 0.500 0.000 0.000
La1 0.000 0.000 0.000
```

Computed properties:
ΔH_f (0 K) in meV per atom: 1242.6
E_tot in eV/cell: -16.33
Mass density in g/cm3: 2.97

---

An optimized crystal structure of LiLaMnGe2. Source: Alexandria via LeMat-Bulk, functional GGA-PBE.

```
data_LiLaMnGe2
_chemical_formula_sum 'Li1 La1 Mn1 Ge2'
_cell_length_a 4.263
_cell_length_b 4.263
_cell_length_c 6.164
_cell_angle_alpha 110.23
_cell_angle_beta 110.23
_cell_angle_gamma 90.00
_space_group_name_H-M_alt 'P 1'
_space_group_IT_number 1
loop_
_space_group_symop_operation_xyz
'x,y,z'
loop_
_atom_site_label
_atom_site_fract_x
_atom_site_fract_y
_atom_site_fract_z
Li1 0.250 0.750 0.500
La1 0.000 0.000 0.000
Mn1 0.750 0.250 0.500
Ge1 0.621 0.621 0.241
Ge2 0.379 0.379 0.759
```

Computed properties:
ΔH_f (0 K) in meV per atom: -527.5
E_tot in eV/cell: -27.88
Mass density in g/cm3: 5.88

---

An optimized crystal structure of LiLa2GeMo. Source: Alexandria via LeMat-Bulk, functional GGA-PBE.

```
data_LiLa2GeMo
_chemical_formula_sum 'Li1 La2 Ge1 Mo1'
_cell_length_a 5.380
_cell_length_b 4.289
_cell_length_c 5.380
_cell_angle_alpha 90.00
_cell_angle_beta 90.00
_cell_angle_gamma 90.00
_space_group_name_H-M_alt 'P 1'
_space_group_IT_number 1
loop_
_space_group_symop_operation_xyz
'x,y,z'
loop_
_atom_site_label
_atom_site_fract_x
_atom_site_fract_y
_atom_site_fract_z
Mo1 0.500 0.500 0.500
Li1 0.000 0.000 0.000
Ge1 0.000 0.500 0.000
La1 0.000 0.000 0.500
La2 0.500 0.000 0.000
```

Computed properties:
ΔH_f (0 K) in meV per atom: 597.3
E_tot in eV/cell: -24.23
Mass density in g/cm3: 6.06

---

An optimized crystal structure of LiLa2GeN. Source: Alexandria via LeMat-Bulk, functional GGA-PBE.

```
data_LiLa2GeN
_chemical_formula_sum 'Li1 La2 Ge1 N1'
_cell_length_a 5.064
_cell_length_b 5.064
_cell_length_c 4.237
_cell_angle_alpha 90.00
_cell_angle_beta 90.00
_cell_angle_gamma 90.00
_space_group_name_H-M_alt 'P 1'
_space_group_IT_number 1
loop_
_space_group_symop_operation_xyz
'x,y,z'
loop_
_atom_site_label
_atom_site_fract_x
_atom_site_fract_y
_atom_site_fract_z
Ge1 0.500 0.500 0.500
N1 0.000 0.000 0.000
Li1 0.000 0.000 0.500
La1 0.000 0.500 0.000
La2 0.500 0.000 0.000
```

Computed properties:
E_tot in eV/cell: -29.27
Formation energy (no corrections) in meV/atom: -912
Mass density in g/cm3: 5.68